No. 1
Entry from the Alexandria database: an optimized crystal structure of Cd2TeAs (GGA-PBEsol).

Properties
Formation energy from raw total energies = 0.23 eV/atom
Space group = Fm-3m, No. 225
Crystal system = cubic
ΔE to the lowest computed polymorph = 221.5 meV per atom
E_tot = -2.52 eV/atom

Cell lengths 5.046, 5.046, 5.046 Å; angles 60.00, 60.00, 60.00 degrees
Fractional coordinates of all 4 atoms:
1 Cd 0.250 0.250 0.250
2 Cd 0.750 0.750 0.750
3 As 0.000 0.000 0.000
4 Te 0.500 0.500 0.500

No. 2
Entry from the Alexandria database: an optimized crystal structure of Cd3TeAs (GGA-PBEsol).

Properties
Formation energy from raw total energies = 0.14 eV/atom
Space group = Pm-3m, No. 221
Crystal system = cubic
E_tot = -2.30 eV/atom

Cell lengths 5.150, 5.150, 5.150 Å; angles 90.00, 90.00, 90.00 degrees
Fractional coordinates of all 5 atoms:
1 As 0.000 0.000 0.000
2 Cd 0.500 0.000 0.000
3 Cd 0.000 0.500 0.000
4 Cd 0.000 0.000 0.500
5 Te 0.500 0.500 0.500

No. 3
Entry from the Alexandria database: an optimized crystal structure of Cd2TeAs (GGA-PBEsol).

Properties
Formation energy from raw total energies = 0.24 eV/atom
Space group = F-43m, No. 216
Crystal system = cubic
ΔE to the lowest computed polymorph = 225.8 meV per atom
E_tot = -2.52 eV/atom

Cell lengths 5.051, 5.051, 5.051 Å; angles 60.00, 60.00, 60.00 degrees
Fractional coordinates of all 4 atoms:
1 As 0.500 0.500 0.500
2 Te 0.750 0.750 0.750
3 Cd 0.000 0.000 0.000
4 Cd 0.250 0.250 0.250